DFT (PBE) results for an optimized crystal structure of TeRu2Pb.

The calculation puts the calculated total energy at -5.9285 eV per atom. For the total magnetization, the calculation gives 0.00 μB per formula unit. Its offset from the most stable computed form is 107.3 meV per atom. The formation energy (no corrections) comes out at 1.7 eV/f.u. Its density of states at the Fermi level is 0.97 states/eV per atom.

The space group is R-3m (No. 166, hexagonal axes) and the conventional cell measures 3.2716, 3.2716 and 24.7169 Å, with angles of 90.00, 90.00 and 120.00 degrees. The distinct sites, in fractional coordinates, are Te at (0.0000, 0.0000, 0.0000), Ru at (0.0000, 0.0000, 0.2560) and Pb at (0.0000, 0.0000, 0.5000).



DFT (PBE) results for an optimized crystal structure of IrPt2Cl.

The calculation puts the calculated total energy at -5.1469 eV per atom. For the total magnetization, the calculation gives 0.00 μB per formula unit. Its offset from the most stable computed form is 263.2 meV per atom. The formation energy (no corrections) comes out at 2.2 eV/f.u. Its density of states at the Fermi level is 1.22 states/eV per atom.

The space group is Immm (No. 71) and the conventional cell measures 2.7389, 4.3343 and 11.5089 Å, with angles of 90.00, 90.00 and 90.00 degrees. The distinct sites, in fractional coordinates, are Ir at (0.0000, 0.0000, 0.0000), Pt at (0.0000, 0.5000, 0.2911) and Cl at (0.0000, 0.0000, 0.5000).